# Ce2SnPt3 GGA-PBE relaxed
# * energy of formation from the pure elements: -914 meV/atom
# * spin magnetization: 0.00 μB/f.u.
data_Ce2SnPt3
_symmetry_space_group_name_H-M 'F m m m'
_symmetry_Int_Tables_number 69
_symmetry_space_group_name_Hall '-F 2 2'
_cell_length_a 6.773
_cell_length_b 9.392
_cell_length_c 16.215
_cell_angle_alpha 90.00
_cell_angle_beta 90.00
_cell_angle_gamma 90.00
loop_
_atom_site_label
_atom_site_type_symbol
_atom_site_fract_x
_atom_site_fract_y
_atom_site_fract_z
Ce1 Ce 0.230 0.000 0.000
Ce2 Ce 0.250 0.250 0.250
Sn1 Sn 0.000 0.000 0.335
Pt1 Pt 0.000 0.000 0.170
Pt2 Pt 0.000 0.246 0.416

=====

# SrSiC2 GGA-PBE relaxed
# * E_form (uncorrected): 0.398 eV/atom
# * spin magnetization: 0.00 μB/f.u.
data_SrSiC2
_symmetry_space_group_name_H-M 'I 41/a m d'
_symmetry_Int_Tables_number 141
_cell_length_a 4.698
_cell_length_b 4.698
_cell_length_c 11.060
_cell_angle_alpha 90.00
_cell_angle_beta 90.00
_cell_angle_gamma 90.00
loop_
_symmetry_equiv_pos_as_xyz
'x,y,z'
'-x,-y,-z'
'-y+1/4,x+3/4,z+1/4'
'y+1/4,-x+3/4,-z+1/4'
'-x+1/2,-y,z+1/2'
'x+1/2,y,-z+1/2'
'y+1/4,-x+1/4,z+3/4'
'-y+1/4,x+1/4,-z+3/4'
'x,-y,-z'
'-x,y,z'
'-y+1/4,-x+1/4,-z+3/4'
'y+1/4,x+1/4,z+3/4'
'-x+1/2,y,-z+1/2'
'x+1/2,-y,z+1/2'
'y+1/4,x+3/4,-z+1/4'
'-y+1/4,-x+3/4,z+1/4'
'x+1/2,y+1/2,z+1/2'
'-x+1/2,-y+1/2,-z+1/2'
'-y+3/4,x+1/4,z+3/4'
'y+3/4,-x+1/4,-z+3/4'
'-x,-y+1/2,z'
'x,y+1/2,-z'
'y+3/4,-x+3/4,z+1/4'
'-y+3/4,x+3/4,-z+1/4'
'x+1/2,-y+1/2,-z+1/2'
'-x+1/2,y+1/2,z+1/2'
'-y+3/4,-x+3/4,-z+1/4'
'y+3/4,x+3/4,z+1/4'
'-x,y+1/2,-z'
'x,-y+1/2,z'
'y+3/4,x+1/4,-z+3/4'
'-y+3/4,-x+1/4,z+3/4'
loop_
_atom_site_label
_atom_site_type_symbol
_atom_site_fract_x
_atom_site_fract_y
_atom_site_fract_z
Sr1 Sr 0.000 0.250 0.375
Si1 Si 0.000 0.250 0.875
C1 C 0.000 0.000 0.000

=====

# Er11Tl9Ru4 GGA-PBE relaxed
# * energy of formation from the pure elements: -362 meV/atom
# * spin magnetization: 0.00 μB/f.u.
data_Er11Tl9Ru4
_symmetry_space_group_name_H-M 'C m m m'
_symmetry_Int_Tables_number 65
_symmetry_space_group_name_Hall '-C 2 2'
_cell_length_a 14.498
_cell_length_b 21.708
_cell_length_c 3.712
_cell_angle_alpha 90.00
_cell_angle_beta 90.00
_cell_angle_gamma 90.00
loop_
_atom_site_label
_atom_site_type_symbol
_atom_site_fract_x
_atom_site_fract_y
_atom_site_fract_z
Er1 Er 0.000 0.000 0.000
Er2 Er 0.000 0.163 0.000
Er3 Er 0.000 0.372 0.000
Er4 Er 0.190 0.500 0.000
Er5 Er 0.247 0.335 0.000
Tl1 Tl 0.000 0.500 0.500
Tl2 Tl 0.111 0.259 0.500
Tl3 Tl 0.143 0.074 0.500
Ru1 Ru 0.147 0.402 0.500

=====

# AcHfNi10 GGA-PBE relaxed
# * energy of formation from the pure elements: -243 meV/atom
# * spin magnetization: 2.58 μB/f.u.
data_AcHfNi10
_symmetry_space_group_name_H-M 'P m m m'
_symmetry_Int_Tables_number 47
_cell_length_a 3.978
_cell_length_b 4.879
_cell_length_c 8.564
_cell_angle_alpha 90.00
_cell_angle_beta 90.00
_cell_angle_gamma 90.00
loop_
_symmetry_equiv_pos_as_xyz
'x,y,z'
'-x,-y,-z'
'-x,-y,z'
'x,y,-z'
'x,-y,-z'
'-x,y,z'
'-x,y,-z'
'x,-y,z'
loop_
_atom_site_label
_atom_site_type_symbol
_atom_site_fract_x
_atom_site_fract_y
_atom_site_fract_z
Ac1 Ac 0.000 0.000 0.000
Hf1 Hf 0.000 0.500 0.500
Ni1 Ni 0.000 0.000 0.347
Ni2 Ni 0.000 0.500 0.190
Ni3 Ni 0.500 0.000 0.500
Ni4 Ni 0.500 0.258 0.267
Ni5 Ni 0.500 0.500 0.000